# 1
# GGA-PBE Sr2SiH, optimized geometry
data_Sr2SiH
_symmetry_space_group_name_H-M 'P 4/m m m'
_symmetry_Int_Tables_number 123
_symmetry_space_group_name_Hall '-P 4 2'
_cell_length_a 5.3826
_cell_length_b 5.3826
_cell_length_c 3.5179
_cell_angle_alpha 90.00
_cell_angle_beta 90.00
_cell_angle_gamma 90.00
loop_
_atom_site_label
_atom_site_type_symbol
_atom_site_fract_x
_atom_site_fract_y
_atom_site_fract_z
Sr1 Sr 0.0000 0.5000 0.0000
Si1 Si 0.0000 0.0000 0.5000
H1 H 0.5000 0.5000 0.5000
# **Polymorph energy (0 for the lowest one)**: 8 meV per atom

***

# 2
# GGA-PBE Sr2SiH, optimized geometry
data_Sr2SiH
_symmetry_space_group_name_H-M 'I -4 2 d'
_symmetry_Int_Tables_number 122
_symmetry_space_group_name_Hall 'I -4 2bw'
_cell_length_a 7.3517
_cell_length_b 7.3517
_cell_length_c 7.9438
_cell_angle_alpha 90.00
_cell_angle_beta 90.00
_cell_angle_gamma 90.00
loop_
_atom_site_label
_atom_site_type_symbol
_atom_site_fract_x
_atom_site_fract_y
_atom_site_fract_z
Sr1 Sr 0.1826 0.2500 0.1250
Si1 Si 0.0000 0.0000 0.5000
H1 H 0.0000 0.0000 0.0000
# **Polymorph energy (0 for the lowest one)**: 29 meV per atom

***

# 3
# GGA-PBE SrSiH3, optimized geometry
data_SrSiH3
_symmetry_space_group_name_H-M 'P m -3 m'
_symmetry_Int_Tables_number 221
_symmetry_space_group_name_Hall '-P 4 2 3'
_cell_length_a 3.8858
_cell_length_b 3.8858
_cell_length_c 3.8858
_cell_angle_alpha 90.00
_cell_angle_beta 90.00
_cell_angle_gamma 90.00
loop_
_atom_site_label
_atom_site_type_symbol
_atom_site_fract_x
_atom_site_fract_y
_atom_site_fract_z
Sr1 Sr 0.0000 0.0000 0.0000
Si1 Si 0.5000 0.5000 0.5000
H1 H 0.0000 0.5000 0.5000
# **Polymorph energy (0 for the lowest one)**: 0 meV per atom

***

# 4
# GGA-PBE SrSiH5, optimized geometry
data_SrSiH5
_symmetry_space_group_name_H-M 'C m c m'
_symmetry_Int_Tables_number 63
_symmetry_space_group_name_Hall '-C 2c 2'
_cell_length_a 3.4735
_cell_length_b 7.8897
_cell_length_c 11.8236
_cell_angle_alpha 90.00
_cell_angle_beta 90.00
_cell_angle_gamma 90.00
loop_
_atom_site_label
_atom_site_type_symbol
_atom_site_fract_x
_atom_site_fract_y
_atom_site_fract_z
Sr1 Sr 0.0000 0.1975 0.2500
Si1 Si 0.0000 0.5000 0.0000
H1 H 0.0000 0.1064 0.7500
H2 H 0.0000 0.3264 0.0549
H3 H 0.0000 0.4101 0.6205
# **Electronic total energy**: -3.414 eV per atom

***

# 5
# GGA-PBE Sr12Si3H5, optimized geometry
data_Sr12Si3H5
_symmetry_space_group_name_H-M 'I a -3 d'
_symmetry_Int_Tables_number 230
_symmetry_space_group_name_Hall '-I 4bd 2c 3'
_cell_length_a 16.9120
_cell_length_b 16.9120
_cell_length_c 16.9120
_cell_angle_alpha 90.00
_cell_angle_beta 90.00
_cell_angle_gamma 90.00
loop_
_atom_site_label
_atom_site_type_symbol
_atom_site_fract_x
_atom_site_fract_y
_atom_site_fract_z
Sr1 Sr 0.0319 0.0594 0.6565
Si1 Si 0.0000 0.2500 0.1250
H1 H 0.0000 0.0000 0.0000
H2 H 0.0000 0.2500 0.3750
# **Electronic total energy**: -2.941 eV per atom

***

# 6
# GGA-PBE Sr2SiTcH, optimized geometry
data_Sr2SiTcH
_symmetry_space_group_name_H-M 'P 4/m m m'
_symmetry_Int_Tables_number 123
_symmetry_space_group_name_Hall '-P 4 2'
_cell_length_a 5.8885
_cell_length_b 5.8885
_cell_length_c 3.4850
_cell_angle_alpha 90.00
_cell_angle_beta 90.00
_cell_angle_gamma 90.00
loop_
_atom_site_label
_atom_site_type_symbol
_atom_site_fract_x
_atom_site_fract_y
_atom_site_fract_z
Sr1 Sr 0.0000 0.5000 0.0000
Si1 Si 0.0000 0.0000 0.5000
Tc1 Tc 0.5000 0.5000 0.0000
H1 H 0.5000 0.5000 0.5000
# **Electronic total energy**: -3.941 eV per atom

***

# 7
# GGA-PBE SrV2SiH, optimized geometry
data_SrV2SiH
_symmetry_space_group_name_H-M 'P 4/m m m'
_symmetry_Int_Tables_number 123
_symmetry_space_group_name_Hall '-P 4 2'
_cell_length_a 5.8495
_cell_length_b 5.8495
_cell_length_c 5.4960
_cell_angle_alpha 90.00
_cell_angle_beta 90.00
_cell_angle_gamma 90.00
loop_
_atom_site_label
_atom_site_type_symbol
_atom_site_fract_x
_atom_site_fract_y
_atom_site_fract_z
Sr1 Sr 0.0000 0.0000 0.0000
V1 V 0.0000 0.5000 0.0000
Si1 Si 0.0000 0.0000 0.5000
H1 H 0.5000 0.5000 0.5000
# **Electronic total energy**: -3.122 eV per atom

***

# 8
# GGA-PBE Ta2SiH2, optimized geometry
data_Ta2SiH2
_symmetry_space_group_name_H-M 'I 4/m m m'
_symmetry_Int_Tables_number 139
_symmetry_space_group_name_Hall '-I 4 2'
_cell_length_a 3.1875
_cell_length_b 3.1875
_cell_length_c 10.8115
_cell_angle_alpha 90.00
_cell_angle_beta 90.00
_cell_angle_gamma 90.00
loop_
_atom_site_label
_atom_site_type_symbol
_atom_site_fract_x
_atom_site_fract_y
_atom_site_fract_z
Ta1 Ta 0.0000 0.0000 0.1331
Si1 Si 0.0000 0.0000 0.5000
H1 H 0.0000 0.5000 0.2500
# **Electronic total energy**: -7.333 eV per atom

***

# 9
# GGA-PBE Ta3SiH, optimized geometry
data_Ta3SiH
_symmetry_space_group_name_H-M 'P -1'
_symmetry_Int_Tables_number 2
_symmetry_space_group_name_Hall '-P 1'
_cell_length_a 2.8397
_cell_length_b 7.4819
_cell_length_c 7.5859
_cell_angle_alpha 112.71
_cell_angle_beta 93.76
_cell_angle_gamma 92.73
loop_
_atom_site_label
_atom_site_type_symbol
_atom_site_fract_x
_atom_site_fract_y
_atom_site_fract_z
Ta1 Ta 0.2052 0.3756 0.1087
Ta2 Ta 0.2239 0.3262 0.5152
Ta3 Ta 0.2838 0.9578 0.8176
Si1 Si 0.2488 0.7629 0.2313
H1 H 0.2554 0.6519 0.6952
# **Polymorph energy (0 for the lowest one)**: 120 meV per atom

***

# 10
# GGA-PBE Ta2SiH, optimized geometry
data_Ta2SiH
_symmetry_space_group_name_H-M 'I -4 2 d'
_symmetry_Int_Tables_number 122
_symmetry_space_group_name_Hall 'I -4 2bw'
_cell_length_a 6.0839
_cell_length_b 6.0839
_cell_length_c 5.7800
_cell_angle_alpha 90.00
_cell_angle_beta 90.00
_cell_angle_gamma 90.00
loop_
_atom_site_label
_atom_site_type_symbol
_atom_site_fract_x
_atom_site_fract_y
_atom_site_fract_z
Ta1 Ta 0.1685 0.2500 0.1250
Si1 Si 0.0000 0.0000 0.5000
H1 H 0.0000 0.0000 0.0000
# **Polymorph energy (0 for the lowest one)**: 0 meV per atom

***

# 11
# GGA-PBE TaSi2H, optimized geometry
data_TaSi2H
_symmetry_space_group_name_H-M 'F m -3 m'
_symmetry_Int_Tables_number 225
_symmetry_space_group_name_Hall '-F 4 2 3'
_cell_length_a 6.0625
_cell_length_b 6.0625
_cell_length_c 6.0625
_cell_angle_alpha 90.00
_cell_angle_beta 90.00
_cell_angle_gamma 90.00
loop_
_atom_site_label
_atom_site_type_symbol
_atom_site_fract_x
_atom_site_fract_y
_atom_site_fract_z
Ta1 Ta 0.0000 0.0000 0.0000
Si1 Si 0.2500 0.2500 0.2500
H1 H 0.0000 0.0000 0.5000
# **Polymorph energy (0 for the lowest one)**: 679 meV per atom

***

# 12
# GGA-PBE Ta2SiH, optimized geometry
data_Ta2SiH
_symmetry_space_group_name_H-M 'F m -3 m'
_symmetry_Int_Tables_number 225
_symmetry_space_group_name_Hall '-F 4 2 3'
_cell_length_a 6.0613
_cell_length_b 6.0613
_cell_length_c 6.0613
_cell_angle_alpha 90.00
_cell_angle_beta 90.00
_cell_angle_gamma 90.00
loop_
_atom_site_label
_atom_site_type_symbol
_atom_site_fract_x
_atom_site_fract_y
_atom_site_fract_z
Ta1 Ta 0.2500 0.2500 0.2500
Si1 Si 0.0000 0.0000 0.0000
H1 H 0.0000 0.0000 0.5000
# **Polymorph energy (0 for the lowest one)**: 362 meV per atom

***

# 13
# GGA-PBE Ta3SiH, optimized geometry
data_Ta3SiH
_symmetry_space_group_name_H-M 'P m -3 m'
_symmetry_Int_Tables_number 221
_symmetry_space_group_name_Hall '-P 4 2 3'
_cell_length_a 4.1118
_cell_length_b 4.1118
_cell_length_c 4.1118
_cell_angle_alpha 90.00
_cell_angle_beta 90.00
_cell_angle_gamma 90.00
loop_
_atom_site_label
_atom_site_type_symbol
_atom_site_fract_x
_atom_site_fract_y
_atom_site_fract_z
Ta1 Ta 0.0000 0.0000 0.5000
Si1 Si 0.5000 0.5000 0.5000
H1 H 0.0000 0.0000 0.0000
# **Polymorph energy (0 for the lowest one)**: 0 meV per atom

***

# 14
# GGA-PBE TaSi2H, optimized geometry
data_TaSi2H
_symmetry_space_group_name_H-M 'I -4 2 d'
_symmetry_Int_Tables_number 122
_symmetry_space_group_name_Hall 'I -4 2bw'
_cell_length_a 5.7840
_cell_length_b 5.7840
_cell_length_c 5.9458
_cell_angle_alpha 90.00
_cell_angle_beta 90.00
_cell_angle_gamma 90.00
loop_
_atom_site_label
_atom_site_type_symbol
_atom_site_fract_x
_atom_site_fract_y
_atom_site_fract_z
Ta1 Ta 0.0000 0.0000 0.0000
Si1 Si 0.1432 0.2500 0.6250
H1 H 0.0000 0.0000 0.5000
# **Polymorph energy (0 for the lowest one)**: 0 meV per atom

***

# 15
# GGA-PBE Ta2SiH, optimized geometry
data_Ta2SiH
_symmetry_space_group_name_H-M 'R -3 m'
_symmetry_Int_Tables_number 166
_symmetry_space_group_name_Hall '-R 3 2"'
_cell_length_a 4.1343
_cell_length_b 4.1343
_cell_length_c 16.0076
_cell_angle_alpha 90.00
_cell_angle_beta 90.00
_cell_angle_gamma 120.00
loop_
_atom_site_label
_atom_site_type_symbol
_atom_site_fract_x
_atom_site_fract_y
_atom_site_fract_z
Ta1 Ta 0.0000 0.0000 0.1160
Si1 Si 0.0000 0.0000 0.5000
H1 H 0.0000 0.0000 0.0000
# **Polymorph energy (0 for the lowest one)**: 478 meV per atom

***

# 16
# GGA-PBE TaSiTcH2, optimized geometry
data_TaSiTcH2
_symmetry_space_group_name_H-M 'P 4/m m m'
_symmetry_Int_Tables_number 123
_symmetry_space_group_name_Hall '-P 4 2'
_cell_length_a 3.5185
_cell_length_b 3.5185
_cell_length_c 4.7364
_cell_angle_alpha 90.00
_cell_angle_beta 90.00
_cell_angle_gamma 90.00
loop_
_atom_site_label
_atom_site_type_symbol
_atom_site_fract_x
_atom_site_fract_y
_atom_site_fract_z
Ta1 Ta 0.0000 0.0000 0.0000
Si1 Si 0.5000 0.5000 0.0000
Tc1 Tc 0.5000 0.5000 0.5000
H1 H 0.0000 0.5000 0.5000
# **Electronic total energy**: -6.504 eV per atom

***

# 17
# GGA-PBE TaV2SiH, optimized geometry
data_TaV2SiH
_symmetry_space_group_name_H-M 'P 4/m m m'
_symmetry_Int_Tables_number 123
_symmetry_space_group_name_Hall '-P 4 2'
_cell_length_a 3.8313
_cell_length_b 3.8313
_cell_length_c 4.0680
_cell_angle_alpha 90.00
_cell_angle_beta 90.00
_cell_angle_gamma 90.00
loop_
_atom_site_label
_atom_site_type_symbol
_atom_site_fract_x
_atom_site_fract_y
_atom_site_fract_z
Ta1 Ta 0.0000 0.0000 0.0000
V1 V 0.0000 0.5000 0.5000
Si1 Si 0.5000 0.5000 0.0000
H1 H 0.0000 0.0000 0.5000
# **Electronic total energy**: -8.040 eV per atom

***

# 18
# GGA-PBE TaVSiH2, optimized geometry
data_TaVSiH2
_symmetry_space_group_name_H-M 'P 4/m m m'
_symmetry_Int_Tables_number 123
_symmetry_space_group_name_Hall '-P 4 2'
_cell_length_a 3.5438
_cell_length_b 3.5438
_cell_length_c 5.2152
_cell_angle_alpha 90.00
_cell_angle_beta 90.00
_cell_angle_gamma 90.00
loop_
_atom_site_label
_atom_site_type_symbol
_atom_site_fract_x
_atom_site_fract_y
_atom_site_fract_z
Ta1 Ta 0.0000 0.0000 0.0000
V1 V 0.0000 0.0000 0.5000
Si1 Si 0.5000 0.5000 0.0000
H1 H 0.0000 0.5000 0.5000
# **Electronic total energy**: -6.068 eV per atom

***

# 19
# GGA-PBE TbSiH, optimized geometry
data_TbSiH
_symmetry_space_group_name_H-M 'P 1 21/m 1'
_symmetry_Int_Tables_number 11
_symmetry_space_group_name_Hall '-P 2yb'
_cell_length_a 4.0211
_cell_length_b 3.8739
_cell_length_c 6.1230
_cell_angle_alpha 90.00
_cell_angle_beta 109.13
_cell_angle_gamma 90.00
loop_
_atom_site_label
_atom_site_type_symbol
_atom_site_fract_x
_atom_site_fract_y
_atom_site_fract_z
Tb1 Tb 0.1464 0.2500 0.2938
Si1 Si 0.4411 0.2500 0.8815
H1 H 0.2536 0.7500 0.5083
# **Polymorph energy (0 for the lowest one)**: 0 meV per atom

***

# 20
# GGA-PBE Tb3SiH, optimized geometry
data_Tb3SiH
_symmetry_space_group_name_H-M 'P -1'
_symmetry_Int_Tables_number 2
_symmetry_space_group_name_Hall '-P 1'
_cell_length_a 5.6856
_cell_length_b 6.0733
_cell_length_c 7.7686
_cell_angle_alpha 67.44
_cell_angle_beta 81.95
_cell_angle_gamma 63.42
loop_
_atom_site_label
_atom_site_type_symbol
_atom_site_fract_x
_atom_site_fract_y
_atom_site_fract_z
Tb1 Tb 0.0820 0.2220 0.1867
Tb2 Tb 0.2482 0.1714 0.6578
Tb3 Tb 0.3813 0.6210 0.1502
Si1 Si 0.2857 0.7058 0.5029
H1 H 0.0169 0.3587 0.8710
# **Electronic total energy**: -4.970 eV per atom

***

# 21
# GGA-PBE Tb6Si3H, optimized geometry
data_Tb6Si3H
_symmetry_space_group_name_H-M 'C m c 21'
_symmetry_Int_Tables_number 36
_symmetry_space_group_name_Hall 'C 2c -2'
_cell_length_a 11.1210
_cell_length_b 13.8074
_cell_length_c 6.7168
_cell_angle_alpha 90.00
_cell_angle_beta 90.00
_cell_angle_gamma 90.00
loop_
_atom_site_label
_atom_site_type_symbol
_atom_site_fract_x
_atom_site_fract_y
_atom_site_fract_z
Tb1 Tb 0.0000 0.0443 0.0000
Tb2 Tb 0.0000 0.2251 0.4789
Tb3 Tb 0.1632 0.2677 0.9823
Tb4 Tb 0.1636 0.4717 0.4679
Si1 Si 0.0000 0.3871 0.7566
Si2 Si 0.1704 0.1091 0.6926
H1 H 0.0000 0.1975 0.1287
# **Electronic total energy**: -5.190 eV per atom